Entry 1:
Entry from Alexandria: Tb2Ho3Mg7 after structural relaxation (PBE).

Lattice parameters (Å, degrees): 13.166 13.166 5.148 90.00 90.00 157.48
Element x y z (fractional)
1 Tb 0.144 0.856 0.000
2 Tb 0.856 0.144 0.000
3 Ho 0.344 0.656 0.500
4 Ho 0.500 0.500 0.500
5 Ho 0.656 0.344 0.500
6 Mg 0.000 0.000 0.000
7 Mg 0.072 0.928 0.500
8 Mg 0.271 0.729 0.000
9 Mg 0.429 0.571 0.000
10 Mg 0.571 0.429 0.000
11 Mg 0.729 0.271 0.000
12 Mg 0.928 0.072 0.500

Results
DFT formation energy = 0.1225 eV per atom
SG = No. 65
Electronic total energy = -2.72 eV per atom
DOS(E_F) = 1.076 states/eV per atom

---

Entry 2:
Entry from Alexandria: TbHo4Mg7 after structural relaxation (PBE).

Lattice parameters (Å, degrees): 5.290 5.290 13.182 90.00 90.00 120.00
Element x y z (fractional)
1 Tb 0.000 0.000 0.000
2 Ho 0.333 0.667 0.163
3 Ho 0.333 0.667 0.423
4 Ho 0.667 0.333 0.577
5 Ho 0.667 0.333 0.837
6 Mg 0.000 0.000 0.263
7 Mg 0.000 0.000 0.500
8 Mg 0.000 0.000 0.737
9 Mg 0.333 0.667 0.681
10 Mg 0.333 0.667 0.917
11 Mg 0.667 0.333 0.083
12 Mg 0.667 0.333 0.319

Results
DFT formation energy = -0.0175 eV per atom
Distance to the lowest polymorph of the same formula = 0 meV/atom
SG = No. 164
Electronic total energy = -2.86 eV per atom
DOS(E_F) = 1.094 states/eV per atom

---

Entry 3:
Entry from Alexandria: Tb6Ho5Mg2 after structural relaxation (PBE).

Lattice parameters (Å, degrees): 10.318 22.458 3.526 90.00 90.00 90.00
Element x y z (fractional)
1 Tb 0.019 0.113 0.000
2 Tb 0.143 0.382 0.000
3 Tb 0.170 0.634 0.500
4 Tb 0.330 0.134 0.500
5 Tb 0.357 0.882 0.000
6 Tb 0.481 0.613 0.000
7 Tb 0.519 0.387 0.000
8 Tb 0.643 0.118 0.000
9 Tb 0.670 0.866 0.500
10 Tb 0.830 0.366 0.500
11 Tb 0.857 0.618 0.000
12 Tb 0.981 0.887 0.000
13 Ho 0.000 0.500 0.500
14 Ho 0.078 0.249 0.500
15 Ho 0.166 0.994 0.500
16 Ho 0.334 0.494 0.500
17 Ho 0.422 0.749 0.500
18 Ho 0.500 0.000 0.500
19 Ho 0.578 0.251 0.500
20 Ho 0.666 0.506 0.500
21 Ho 0.834 0.006 0.500
22 Ho 0.922 0.751 0.500
23 Mg 0.172 0.760 0.000
24 Mg 0.328 0.260 0.000
25 Mg 0.672 0.740 0.000
26 Mg 0.828 0.240 0.000

Results
DFT formation energy = 0.1399 eV per atom
SG = No. 55
Electronic total energy = -4.00 eV per atom
DOS(E_F) = 1.771 states/eV per atom

---

Entry 4:
Entry from Alexandria: Tb4HoMg after structural relaxation (PBE).

Lattice parameters (Å, degrees): 3.562 3.562 14.364 90.00 90.00 90.00
Element x y z (fractional)
1 Tb 0.000 0.000 0.154
2 Tb 0.000 0.000 0.846
3 Tb 0.500 0.500 0.326
4 Tb 0.500 0.500 0.674
5 Ho 0.000 0.000 0.500
6 Mg 0.500 0.500 0.000

Results
DFT formation energy = -0.0154 eV per atom
Distance to the lowest polymorph of the same formula = 0 meV/atom
SG = No. 123
Electronic total energy = -4.13 eV per atom
DOS(E_F) = 1.311 states/eV per atom

---

Entry 5:
Entry from Alexandria: Tb2HoMg2 after structural relaxation (PBE).

Lattice parameters (Å, degrees): 3.738 5.423 14.053 90.00 97.64 90.00
Element x y z (fractional)
1 Tb 0.044 0.250 0.088
2 Tb 0.237 0.250 0.474
3 Tb 0.763 0.750 0.526
4 Tb 0.956 0.750 0.912
5 Ho 0.151 0.750 0.303
6 Ho 0.849 0.250 0.697
7 Mg 0.361 0.750 0.720
8 Mg 0.446 0.250 0.892
9 Mg 0.554 0.750 0.108
10 Mg 0.639 0.250 0.280

Results
DFT formation energy = -0.0665 eV per atom
Distance to the lowest polymorph of the same formula = 0 meV/atom
SG = No. 11
Electronic total energy = -3.47 eV per atom
DOS(E_F) = 1.098 states/eV per atom

---

Entry 6:
Entry from Alexandria: TbHo14Mg after structural relaxation (PBE).

Lattice parameters (Å, degrees): 9.940 7.011 7.011 90.00 90.00 90.00
Element x y z (fractional)
1 Tb 0.000 0.000 0.000
2 Ho 0.000 0.000 0.500
3 Ho 0.000 0.500 0.000
4 Ho 0.250 0.249 0.249
5 Ho 0.250 0.249 0.751
6 Ho 0.250 0.751 0.249
7 Ho 0.250 0.751 0.751
8 Ho 0.500 0.000 0.000
9 Ho 0.500 0.000 0.500
10 Ho 0.500 0.500 0.000
11 Ho 0.500 0.500 0.500
12 Ho 0.750 0.249 0.249
13 Ho 0.750 0.249 0.751
14 Ho 0.750 0.751 0.249
15 Ho 0.750 0.751 0.751
16 Mg 0.000 0.501 0.501

Results
DFT formation energy = 0.0221 eV per atom
SG = No. 38
Electronic total energy = -4.37 eV per atom
DOS(E_F) = 1.228 states/eV per atom